## BaPuBe2O6 (PBE-GGA)

Data for a relaxed structure of BaPuBe2O6.

abc: 6.0069 6.9333 6.9333
angles: 93.05 76.66 76.66
Closest atoms and distances in Å follow each position.
Atoms (fractional coordinates):
Ba 0.7500 0.0967 0.9033  6 O 2.60-2.80
Ba 0.2500 0.9033 0.0967  6 O 2.60-2.80
Pu 0.7500 0.6880 0.3120  2 O 1.92
Pu 0.2500 0.3120 0.6880  2 O 1.92
O 0.9107 0.3891 0.7540  1 Be 1.64
O 0.6651 0.7265 0.6431  1 Be 1.65
O 0.5893 0.2460 0.6109  1 Be 1.64
O 0.7805 0.9889 0.2815  1 Be 1.60
O 0.8349 0.3569 0.2735  1 Be 1.65
O 0.4107 0.7540 0.3891  1 Be 1.64
O 0.1651 0.6431 0.7265  1 Be 1.65
O 0.7195 0.7185 0.0111  1 Be 1.60
O 0.0893 0.6109 0.2460  1 Be 1.64
O 0.3349 0.2735 0.3569  1 Be 1.65
O 0.2805 0.2815 0.9889  1 Be 1.60
O 0.2195 0.0111 0.7185  1 Be 1.60
Be 0.1572 0.3661 0.2174  3 O 1.60-1.65
Be 0.6572 0.2174 0.3661  3 O 1.60-1.65
Be 0.8428 0.6339 0.7826  3 O 1.60-1.65
Be 0.3428 0.7826 0.6339  3 O 1.60-1.65

Summary:
Formation energy from raw total energies: -25.41 eV per formula unit
DFT total energy: -7.886 eV/atom
Spin magnetization: 4.000 Bohr magnetons per cell
Space group: No. 15


## Sm3Ge5Se12 (PBE-GGA)

Data for a relaxed structure of Sm3Ge5Se12.

abc: 14.0512 14.0512 14.0512
angles: 109.47 109.47 109.47
Closest atoms and distances in Å follow each position.
Atoms (fractional coordinates):
Se 0.3205 0.5368 0.4079  2 Ge 2.46-2.73
Se 0.9632 0.3712 0.2837  2 Ge 2.46-2.73
Se 0.1288 0.4126 0.0921  2 Ge 2.46-2.73
Se 0.8205 0.9126 0.2837  2 Ge 2.46-2.73
Se 0.5921 0.6288 0.4126  2 Ge 2.46-2.73
Se 0.3205 0.7837 0.4126  2 Ge 2.46-2.73
Se 0.2163 0.6795 0.0874  2 Ge 2.46-2.73
Se 0.5368 0.2163 0.1288  2 Ge 2.46-2.73
Se 0.9126 0.0921 0.6288  2 Ge 2.46-2.73
Se 0.4126 0.2837 0.3205  2 Ge 2.46-2.73
Se 0.8712 0.2837 0.4632  2 Ge 2.46-2.73
Se 0.6795 0.2163 0.5874  2 Ge 2.46-2.73
Se 0.3712 0.9632 0.7837  2 Ge 2.46-2.73
Se 0.5921 0.9632 0.6795  2 Ge 2.46-2.73
Se 0.7837 0.4632 0.3712  2 Ge 2.46-2.73
Se 0.9632 0.5921 0.1795  2 Ge 2.46-2.73
Se 0.4079 0.0368 0.3205  2 Ge 2.46-2.73
Se 0.7163 0.1288 0.0368  2 Ge 2.46-2.73
Se 0.3712 0.4079 0.0874  2 Ge 2.46-2.73
Se 0.6795 0.4632 0.5921  2 Ge 2.46-2.73
Se 0.1288 0.7163 0.5368  2 Ge 2.46-2.73
Se 0.2837 0.4126 0.8205  2 Ge 2.46-2.73
Se 0.0921 0.1795 0.4632  2 Ge 2.46-2.73
Se 0.1795 0.0874 0.7163  2 Ge 2.46-2.73
Se 0.0921 0.9126 0.1288  2 Ge 2.46-2.73
Se 0.2837 0.8712 0.9632  2 Ge 2.46-2.73
Se 0.9126 0.8205 0.7837  2 Ge 2.46-2.73
Se 0.6288 0.0368 0.2163  2 Ge 2.46-2.73
Se 0.0368 0.6288 0.7163  2 Ge 2.46-2.73
Se 0.4126 0.1288 0.5921  2 Ge 2.46-2.73
Se 0.4632 0.7837 0.8712  2 Ge 2.46-2.73
Se 0.7837 0.3205 0.9126  2 Ge 2.46-2.73
Se 0.0368 0.4079 0.8205  2 Ge 2.46-2.73
Se 0.9079 0.8205 0.5368  2 Ge 2.46-2.73
Se 0.4632 0.6795 0.0921  2 Ge 2.46-2.73
Se 0.1795 0.0921 0.9632  2 Ge 2.46-2.73
Se 0.4079 0.3712 0.5874  2 Ge 2.46-2.73
Se 0.2163 0.5368 0.6288  2 Ge 2.46-2.73
Se 0.5368 0.3205 0.9079  2 Ge 2.46-2.73
Se 0.0874 0.1795 0.2163  2 Ge 2.46-2.73
Se 0.5874 0.7163 0.6795  2 Ge 2.46-2.73
Se 0.0874 0.9079 0.3712  2 Ge 2.46-2.73
Se 0.8205 0.9079 0.0368  2 Ge 2.46-2.73
Se 0.7163 0.5874 0.1795  2 Ge 2.46-2.73
Se 0.9079 0.0874 0.8712  2 Ge 2.46-2.73
Se 0.6288 0.5921 0.9126  2 Ge 2.46-2.73
Se 0.5874 0.8712 0.4079  2 Ge 2.46-2.73
Se 0.8712 0.5874 0.9079  2 Ge 2.46-2.73
Sm 0.2500 0.6250 0.8750  8 Se 3.06-3.11
Sm 0.3750 0.7500 0.6250  8 Se 3.06-3.11
Sm 0.3750 0.6250 0.2500  8 Se 3.06-3.11
Sm 0.8750 0.1250 0.2500  8 Se 3.06-3.11
Sm 0.8750 0.7500 0.1250  8 Se 3.06-3.11
Sm 0.7500 0.8750 0.6250  8 Se 3.06-3.11
Sm 0.6250 0.3750 0.7500  8 Se 3.06-3.11
Sm 0.6250 0.2500 0.3750  8 Se 3.06-3.11
Sm 0.7500 0.3750 0.1250  8 Se 3.06-3.11
Sm 0.1250 0.8750 0.7500  8 Se 3.06-3.11
Sm 0.2500 0.1250 0.3750  8 Se 3.06-3.11
Sm 0.1250 0.2500 0.8750  8 Se 3.06-3.11
Ge 0.0000 0.5000 0.5000  6 Se 2.73
Ge 0.2500 0.3750 0.6250  4 Se 2.46
Ge 0.3750 0.2500 0.1250  4 Se 2.46
Ge 0.5000 0.0000 0.5000  6 Se 2.73
Ge 0.6250 0.7500 0.8750  4 Se 2.46
Ge 0.5000 0.5000 0.5000  6 Se 2.73
Ge 0.7500 0.1250 0.8750  4 Se 2.46
Ge 0.5000 0.5000 0.0000  6 Se 2.73
Ge 0.0000 0.0000 0.0000  6 Se 2.73
Ge 0.0000 0.5000 0.0000  6 Se 2.73
Ge 0.1250 0.3750 0.2500  4 Se 2.46
Ge 0.8750 0.2500 0.6250  4 Se 2.46
Ge 0.3750 0.1250 0.7500  4 Se 2.46
Ge 0.2500 0.8750 0.1250  4 Se 2.46
Ge 0.8750 0.6250 0.7500  4 Se 2.46
Ge 0.1250 0.7500 0.3750  4 Se 2.46
Ge 0.7500 0.6250 0.3750  4 Se 2.46
Ge 0.5000 0.0000 0.0000  6 Se 2.73
Ge 0.0000 0.0000 0.5000  6 Se 2.73
Ge 0.6250 0.8750 0.2500  4 Se 2.46

Summary:
Formation energy from raw total energies: -16.14 eV per formula unit
DFT total energy: -4.760 eV/atom
Spin magnetization: 0.000 Bohr magnetons per cell
Space group: No. 230


## YMg2Os (PBE-GGA)

Data for a relaxed structure of YMg2Os.

abc: 4.8383 4.8383 4.8383
angles: 120.07 120.01 89.92
Closest atoms and distances in Å follow each position.
Atoms (fractional coordinates):
Mg 0.9998 0.9998 0.0000  4 Mg 2.96, 4 Y 2.96
Mg 0.7499 0.2499 0.5000  4 Os 2.96, 4 Mg 2.96
Os 0.5002 0.5002 0.0000  4 Mg 2.96, 4 Y 2.96
Y 0.2501 0.7501 0.5000  4 Mg 2.96, 4 Os 2.96

Summary:
Offset from the most stable computed form: 81 meV per atom
DFT total energy: -5.156 eV/atom
Spin magnetization: 0.000 Bohr magnetons per cell
Space group: No. 216
Energy of formation from the pure elements: 0.0652 eV/atom


## Pr7PbSe5 (PBE-GGA)

Data for a relaxed structure of Pr7PbSe5.

abc: 4.3396 7.2987 25.3414
angles: 89.98 90.00 107.29
Closest atoms and distances in Å follow each position.
Atoms (fractional coordinates):
Pr 0.1810 0.3620 0.1760  3 Se 2.96-3.00
Pr 0.6372 0.2744 0.4636  6 Se 2.95-3.03
Pr 0.5275 0.0551 0.7500  2 Se 2.93, 2 Pb 3.21
Pr 0.1815 0.3631 0.3240  3 Se 2.96-3.00
Pr 0.0943 0.1886 0.8874  5 Se 3.00-3.14
Pr 0.4731 0.9462 0.2500  2 Se 2.93, 2 Pb 3.21
Pr 0.3633 0.7267 0.5364  6 Se 2.95-3.03
Pr 0.6370 0.2740 0.0363  6 Se 2.95-3.03
Pr 0.0939 0.1877 0.6125  5 Se 3.01-3.14
Pr 0.3635 0.7270 0.9636  6 Se 2.95-3.03
Pr 0.8191 0.6382 0.6761  3 Se 2.96-3.00
Pr 0.8196 0.6391 0.8240  3 Se 2.96-3.00
Pr 0.9067 0.8135 0.3876  5 Se 3.01-3.14
Pr 0.9063 0.8126 0.1125  5 Se 3.00-3.14
Se 0.4548 0.9095 0.8585  6 Pr 2.93-3.00
Se 0.0003 0.0005 0.0000  6 Pr 3.03-3.14
Se 0.5463 0.0926 0.3585  6 Pr 2.93-3.01
Se 0.2737 0.5474 0.0710  6 Pr 2.96-3.04
Se 0.7268 0.4536 0.9290  6 Pr 2.96-3.04
Se 0.2740 0.5479 0.4290  6 Pr 2.96-3.04
Se 0.5458 0.0916 0.1414  6 Pr 2.93-3.00
Se 0.7266 0.4532 0.5711  6 Pr 2.96-3.04
Se 0.0003 0.0006 0.5000  6 Pr 3.03-3.14
Se 0.4543 0.9086 0.6415  6 Pr 2.93-3.01
Pb 0.8031 0.6062 0.2498  6 Pr 3.21-3.33
Pb 0.1975 0.3950 0.7502  6 Pr 3.21-3.33

Summary:
Formation energy from raw total energies: -20.07 eV per formula unit
DFT total energy: -5.743 eV/atom
Spin magnetization: 0.003 Bohr magnetons per cell
Space group: No. 12


## MgSn3N (PBE-GGA)

Data for a relaxed structure of MgSn3N.

abc: 4.8325 4.8325 4.8325
angles: 90.00 90.00 90.00
Closest atoms and distances in Å follow each position.
Atoms (fractional coordinates):
Sn 0.0000 0.5000 0.0000  2 N 2.42
Sn 0.0000 0.0000 0.5000  2 N 2.42
Sn 0.5000 0.0000 0.0000  2 N 2.42
Mg 0.5000 0.5000 0.5000  12 Sn 3.42
N 0.0000 0.0000 0.0000  6 Sn 2.42

Summary:
Offset from the most stable computed form: 0 meV per atom
Formation energy from raw total energies: 2.14 eV per formula unit
DFT total energy: -3.957 eV/atom
Spin magnetization: 0.000 Bohr magnetons per cell
Space group: No. 221


## Pr4SiSn3 (PBE-GGA)

Data for a relaxed structure of Pr4SiSn3.

abc: 4.6813 4.3119 11.6430
angles: 90.00 90.00 90.00
Closest atoms and distances in Å follow each position.
Atoms (fractional coordinates):
Pr 0.0000 0.0000 0.1338  3 Sn 3.23-3.40, 4 Si 3.23
Pr 0.0000 0.5000 0.8685  5 Sn 3.24-3.26, 2 Si 3.44
Pr 0.5000 0.5000 0.3524  1 Si 3.12, 4 Sn 3.25
Pr 0.5000 0.0000 0.6387  7 Sn 3.24-3.54
Sn 0.5000 0.0000 0.9226  2 Si 2.86
Sn 0.0000 0.5000 0.5883  2 Sn 2.99, 5 Pr 3.24-3.26
Sn 0.0000 0.0000 0.4110  2 Sn 2.99, 5 Pr 3.23-3.25
Si 0.5000 0.5000 0.0846  2 Sn 2.86, 1 Pr 3.12

Summary:
Formation energy from raw total energies: -5.93 eV per formula unit
DFT total energy: -5.310 eV/atom
Spin magnetization: 0.000 Bohr magnetons per cell
Space group: No. 25